{"formula": "LiUGaTc", "functional": "GGA-PBE", "state": "relaxed", "space_group": "F-43m", "e_form_kj_per_mol_fu": 34, "dos_at_fermi_per_ev_atom": 2.13, "e_tot_ev_per_atom": -6.56, "lattice_angstrom": [[6.480, 0.000, 0.000], [0.000, 6.480, 0.000], [0.000, 0.000, 6.480]], "species": ["Li", "Li", "Li", "Li", "U", "U", "U", "U", "Ga", "Ga", "Ga", "Ga", "Tc", "Tc", "Tc", "Tc"], "frac_coords": [[0.000, 0.000, 0.000], [0.000, 0.500, 0.500], [0.500, 0.000, 0.500], [0.500, 0.500, 0.000], [0.250, 0.250, 0.750], [0.250, 0.750, 0.250], [0.750, 0.250, 0.250], [0.750, 0.750, 0.750], [0.250, 0.250, 0.250], [0.250, 0.750, 0.750], [0.750, 0.250, 0.750], [0.750, 0.750, 0.250], [0.000, 0.000, 0.500], [0.000, 0.500, 0.000], [0.500, 0.000, 0.000], [0.500, 0.500, 0.500]]}

---

{"formula": "LiY2Ga6Tc", "functional": "GGA-PBE", "state": "relaxed", "space_group": "C2/m", "e_form_kj_per_mol_fu": -257, "dos_at_fermi_per_ev_atom": 0.55, "e_tot_ev_per_atom": -4.60, "lattice_angstrom": [[6.053, -2.736, 0.000], [6.053, 2.736, 0.000], [-4.131, 0.000, 6.347]], "species": ["Li", "Y", "Y", "Ga", "Ga", "Ga", "Ga", "Ga", "Ga", "Tc"], "frac_coords": [[0.000, 0.000, 0.000], [0.155, 0.155, 0.751], [0.845, 0.845, 0.249], [0.149, 0.624, 0.646], [0.245, 0.245, 0.227], [0.376, 0.851, 0.354], [0.624, 0.149, 0.646], [0.755, 0.755, 0.773], [0.851, 0.376, 0.354], [0.500, 0.500, 0.500]]}

---

{"formula": "LiZn2Ga4Tc", "functional": "GGA-PBE", "state": "relaxed", "space_group": "P4/mmm", "e_form_kj_per_mol_fu": 1, "dos_at_fermi_per_ev_atom": 0.42, "e_tot_ev_per_atom": -3.37, "lattice_angstrom": [[3.751, 0.000, 0.000], [0.000, 3.751, 0.000], [0.000, 0.000, 9.990]], "species": ["Li", "Zn", "Zn", "Ga", "Ga", "Ga", "Ga", "Tc"], "frac_coords": [[0.000, 0.000, 0.000], [0.500, 0.500, 0.122], [0.500, 0.500, 0.878], [0.000, 0.500, 0.319], [0.000, 0.500, 0.681], [0.500, 0.000, 0.319], [0.500, 0.000, 0.681], [0.000, 0.000, 0.500]]}

---

{"formula": "LiGaTe2", "functional": "GGA-PBE", "state": "relaxed", "space_group": "R-3m", "formation_energy_uncorrected_ev_per_atom": -0.2979, "dos_at_fermi_per_ev_atom": 0.49, "e_tot_ev_per_atom": -3.10, "lattice_angstrom": [[4.142, 0.000, 0.000], [-2.071, 3.587, 0.000], [0.000, 0.000, 25.169]], "species": ["Li", "Li", "Li", "Ga", "Ga", "Ga", "Te", "Te", "Te", "Te", "Te", "Te"], "frac_coords": [[0.000, 0.000, 0.000], [0.333, 0.667, 0.667], [0.667, 0.333, 0.333], [0.000, 0.000, 0.500], [0.333, 0.667, 0.167], [0.667, 0.333, 0.833], [0.000, 0.000, 0.105], [0.000, 0.000, 0.895], [0.333, 0.667, 0.562], [0.333, 0.667, 0.771], [0.667, 0.333, 0.229], [0.667, 0.333, 0.438]]}

---

{"formula": "LiGaTe2", "functional": "GGA-PBE", "state": "relaxed", "space_group": "I-42d", "formation_energy_uncorrected_ev_per_atom": -0.6300, "dos_at_fermi_per_ev_atom": 0.00, "e_tot_ev_per_atom": -3.44, "lattice_angstrom": [[6.401, 0.000, 0.000], [0.000, 6.401, 0.000], [0.000, 0.000, 12.000]], "species": ["Li", "Li", "Li", "Li", "Ga", "Ga", "Ga", "Ga", "Te", "Te", "Te", "Te", "Te", "Te", "Te", "Te"], "frac_coords": [[0.000, 0.000, 0.000], [0.000, 0.500, 0.250], [0.500, 0.000, 0.750], [0.500, 0.500, 0.500], [0.000, 0.000, 0.500], [0.000, 0.500, 0.750], [0.500, 0.000, 0.250], [0.500, 0.500, 0.000], [0.236, 0.250, 0.625], [0.250, 0.736, 0.875], [0.250, 0.764, 0.375], [0.264, 0.250, 0.125], [0.736, 0.750, 0.125], [0.750, 0.236, 0.375], [0.750, 0.264, 0.875], [0.764, 0.750, 0.625]]}

---

{"formula": "Li4GaTe2", "functional": "GGA-PBE", "state": "relaxed", "space_group": "I4/mmm", "formation_energy_uncorrected_ev_per_atom": -0.3682, "dos_at_fermi_per_ev_atom": 0.40, "e_tot_ev_per_atom": -2.79, "lattice_angstrom": [[4.698, 0.000, 0.000], [0.000, 4.698, 0.000], [0.000, 0.000, 14.789]], "species": ["Li", "Li", "Li", "Li", "Li", "Li", "Li", "Li", "Ga", "Ga", "Te", "Te", "Te", "Te"], "frac_coords": [[0.000, 0.000, 0.187], [0.000, 0.000, 0.813], [0.000, 0.500, 0.000], [0.000, 0.500, 0.500], [0.500, 0.000, 0.000], [0.500, 0.000, 0.500], [0.500, 0.500, 0.313], [0.500, 0.500, 0.687], [0.000, 0.000, 0.000], [0.500, 0.500, 0.500], [0.000, 0.000, 0.373], [0.000, 0.000, 0.627], [0.500, 0.500, 0.127], [0.500, 0.500, 0.873]]}

---

{"formula": "LiGa2Te", "functional": "GGA-PBE", "state": "relaxed", "space_group": "I-42d", "formation_energy_uncorrected_ev_per_atom": -0.2523, "dos_at_fermi_per_ev_atom": 0.21, "e_tot_ev_per_atom": -3.03, "lattice_angstrom": [[8.246, 0.000, 0.000], [0.000, 8.246, 0.000], [0.000, 0.000, 5.574]], "species": ["Li", "Li", "Li", "Li", "Ga", "Ga", "Ga", "Ga", "Ga", "Ga", "Ga", "Ga", "Te", "Te", "Te", "Te"], "frac_coords": [[0.000, 0.000, 0.000], [0.000, 0.500, 0.250], [0.500, 0.000, 0.750], [0.500, 0.500, 0.500], [0.241, 0.250, 0.625], [0.250, 0.741, 0.875], [0.250, 0.759, 0.375], [0.259, 0.250, 0.125], [0.741, 0.750, 0.125], [0.750, 0.241, 0.375], [0.750, 0.259, 0.875], [0.759, 0.750, 0.625], [0.000, 0.000, 0.500], [0.000, 0.500, 0.750], [0.500, 0.000, 0.250], [0.500, 0.500, 0.000]]}

---

{"formula": "Li2GaTe", "functional": "GGA-PBE", "state": "relaxed", "de_polymorph_kj_per_mol_fu": 40.1, "space_group": "Fm-3m", "formation_energy_uncorrected_ev_per_atom": -0.4352, "dos_at_fermi_per_ev_atom": 0.49, "e_tot_ev_per_atom": -2.93, "lattice_angstrom": [[6.927, 0.000, 0.000], [0.000, 6.927, 0.000], [0.000, 0.000, 6.927]], "species": ["Li", "Li", "Li", "Li", "Li", "Li", "Li", "Li", "Ga", "Ga", "Ga", "Ga", "Te", "Te", "Te", "Te"], "frac_coords": [[0.250, 0.250, 0.250], [0.250, 0.250, 0.750], [0.250, 0.750, 0.250], [0.250, 0.750, 0.750], [0.750, 0.250, 0.250], [0.750, 0.250, 0.750], [0.750, 0.750, 0.250], [0.750, 0.750, 0.750], [0.000, 0.000, 0.000], [0.000, 0.500, 0.500], [0.500, 0.000, 0.500], [0.500, 0.500, 0.000], [0.000, 0.000, 0.500], [0.000, 0.500, 0.000], [0.500, 0.000, 0.000], [0.500, 0.500, 0.500]]}

---

{"formula": "LiGaTe2", "functional": "GGA-PBE", "state": "relaxed", "space_group": "R3m", "formation_energy_uncorrected_ev_per_atom": -0.4112, "dos_at_fermi_per_ev_atom": 0.38, "e_tot_ev_per_atom": -3.22, "lattice_angstrom": [[4.040, 0.000, 0.000], [-2.020, 3.499, 0.000], [0.000, 0.000, 21.805]], "species": ["Li", "Li", "Li", "Ga", "Ga", "Ga", "Te", "Te", "Te", "Te", "Te", "Te"], "frac_coords": [[0.000, 0.000, 0.000], [0.333, 0.667, 0.667], [0.667, 0.333, 0.333], [0.000, 0.000, 0.165], [0.333, 0.667, 0.831], [0.667, 0.333, 0.498], [0.000, 0.000, 0.574], [0.000, 0.000, 0.755], [0.333, 0.667, 0.241], [0.333, 0.667, 0.422], [0.667, 0.333, 0.088], [0.667, 0.333, 0.908]]}

---

{"formula": "LiGa2Te", "functional": "GGA-PBE", "state": "relaxed", "space_group": "R-3m", "formation_energy_uncorrected_ev_per_atom": 0.0233, "dos_at_fermi_per_ev_atom": 0.63, "e_tot_ev_per_atom": -2.75, "lattice_angstrom": [[3.937, 0.000, 0.000], [-1.969, 3.410, 0.000], [0.000, 0.000, 26.418]], "species": ["Li", "Li", "Li", "Ga", "Ga", "Ga", "Ga", "Ga", "Ga", "Te", "Te", "Te"], "frac_coords": [[0.000, 0.000, 0.000], [0.333, 0.667, 0.667], [0.667, 0.333, 0.333], [0.000, 0.000, 0.098], [0.000, 0.000, 0.902], [0.333, 0.667, 0.568], [0.333, 0.667, 0.765], [0.667, 0.333, 0.235], [0.667, 0.333, 0.432], [0.000, 0.000, 0.500], [0.333, 0.667, 0.167], [0.667, 0.333, 0.833]]}

---

{"formula": "Li4Ga2Te", "functional": "GGA-PBE", "state": "relaxed", "space_group": "I4/mmm", "formation_energy_uncorrected_ev_per_atom": -0.1547, "dos_at_fermi_per_ev_atom": 0.27, "e_tot_ev_per_atom": -2.56, "lattice_angstrom": [[5.252, 0.000, 0.000], [0.000, 5.252, 0.000], [0.000, 0.000, 13.283]], "species": ["Li", "Li", "Li", "Li", "Li", "Li", "Li", "Li", "Ga", "Ga", "Ga", "Ga", "Te", "Te"], "frac_coords": [[0.000, 0.000, 0.204], [0.000, 0.000, 0.796], [0.000, 0.500, 0.000], [0.000, 0.500, 0.500], [0.500, 0.000, 0.000], [0.500, 0.000, 0.500], [0.500, 0.500, 0.296], [0.500, 0.500, 0.704], [0.000, 0.000, 0.403], [0.000, 0.000, 0.597], [0.500, 0.500, 0.097], [0.500, 0.500, 0.903], [0.000, 0.000, 0.000], [0.500, 0.500, 0.500]]}

---

{"formula": "LiGaTe2", "functional": "GGA-PBE", "state": "relaxed", "space_group": "P2_1", "formation_energy_uncorrected_ev_per_atom": -0.5655, "dos_at_fermi_per_ev_atom": 0.00, "e_tot_ev_per_atom": -3.37, "lattice_angstrom": [[4.418, 0.000, 0.000], [0.000, 6.220, 0.000], [-0.005, 0.000, 9.024]], "species": ["Li", "Li", "Ga", "Ga", "Te", "Te", "Te", "Te"], "frac_coords": [[0.249, 0.000, 0.121], [0.751, 0.500, 0.879], [0.249, 0.953, 0.628], [0.751, 0.453, 0.372], [0.251, 0.720, 0.376], [0.251, 0.745, 0.872], [0.749, 0.220, 0.624], [0.749, 0.245, 0.128]]}